Computed, not measured: a relaxed Ca2SmHg4Pb crystal at the PBE-GGA level of DFT.

Lattice parameters (Å, degrees): 9.4077 9.4077 9.4077 32.87 32.87 32.87
Last column: nearest neighbours and their distance in Å.
Sites, in units of the cell vectors:
Ca 0.2430 0.2430 0.2430  8 Hg 3.16-3.45
Ca 0.7570 0.7570 0.7570  8 Hg 3.16-3.45
Sm 0.0000 0.0000 0.0000  8 Hg 3.16-3.19
Hg 0.1185 0.1185 0.1185  1 Sm 3.16, 4 Ca 3.16-3.32, 3 Pb 3.33
Hg 0.3647 0.3647 0.3647  3 Sm 3.19, 4 Ca 3.25-3.45, 3 Hg 3.50
Hg 0.6353 0.6353 0.6353  3 Sm 3.19, 4 Ca 3.25-3.45, 3 Hg 3.50
Hg 0.8815 0.8815 0.8815  1 Sm 3.16, 4 Ca 3.16-3.32, 3 Pb 3.33
Pb 0.5000 0.5000 0.5000  8 Hg 3.33-3.61, 6 Ca 3.69

## Properties
M_tot = 0.00 μB/f.u.
DFT total energy = -2.15 eV per atom
symmetry = No. 166
ΔE_f = -0.4495 eV per atom
DOS(E_F) = 4.7 states/eV per cell

Computed, not measured: a relaxed CaSnHg4Pb crystal at the PBE-GGA level of DFT.

Lattice parameters (Å, degrees): 9.3077 9.3077 6.0765 90.00 90.00 112.05
Last column: nearest neighbours and their distance in Å.
Sites, in units of the cell vectors:
Ca 0.1496 0.8504 0.7500  7 Hg 3.09-3.40, 1 Pb 3.28, 2 Sn 3.41
Ca 0.8504 0.1496 0.2500  7 Hg 3.09-3.40, 1 Pb 3.28, 2 Sn 3.41
Sn 0.2495 0.7505 0.2500  6 Hg 3.00-3.07
Sn 0.7505 0.2495 0.7500  6 Hg 3.00-3.07
Hg 0.0000 0.5000 0.0000  2 Sn 3.01, 2 Hg 3.04
Hg 0.0000 0.5000 0.5000  2 Sn 3.01, 2 Hg 3.04
Hg 0.0503 0.9497 0.2500  1 Sn 3.07, 3 Ca 3.09-3.40, 2 Hg 3.41
Hg 0.4437 0.5563 0.2500  1 Sn 3.00, 3 Pb 3.00-3.29
Hg 0.5000 0.0000 0.0000  2 Sn 3.01, 2 Hg 3.04
Hg 0.5000 0.0000 0.5000  2 Sn 3.01, 2 Hg 3.04
Hg 0.5563 0.4437 0.7500  1 Sn 3.00, 3 Pb 3.00-3.29
Hg 0.9497 0.0503 0.7500  1 Sn 3.07, 3 Ca 3.09-3.40, 2 Hg 3.41
Pb 0.3618 0.6382 0.7500  3 Hg 3.00-3.29, 1 Ca 3.28
Pb 0.6382 0.3618 0.2500  3 Hg 3.00-3.29, 1 Ca 3.28

## Properties
M_tot = 0.00 μB/f.u.
DFT total energy = -1.59 eV per atom
symmetry = No. 63
ΔE_f = -0.0258 eV per atom
DOS(E_F) = 7.0 states/eV per cell

Computed, not measured: a relaxed Ca2Sn2Hg2Pb crystal at the PBE-GGA level of DFT.

Lattice parameters (Å, degrees): 9.1052 9.1052 9.1052 33.13 33.13 33.13
Last column: nearest neighbours and their distance in Å.
Sites, in units of the cell vectors:
Ca 0.1288 0.1288 0.1288  3 Hg 3.07, 1 Pb 3.32, 3 Sn 3.39
Ca 0.8712 0.8712 0.8712  3 Hg 3.07, 1 Pb 3.32, 3 Sn 3.39
Sn 0.2662 0.2662 0.2662  3 Hg 3.13, 3 Ca 3.39, 3 Pb 3.46
Sn 0.7338 0.7338 0.7338  3 Hg 3.13, 3 Ca 3.39, 3 Pb 3.46
Hg 0.4357 0.4357 0.4357  3 Ca 3.07, 3 Sn 3.13, 1 Hg 3.31
Hg 0.5643 0.5643 0.5643  3 Ca 3.07, 3 Sn 3.13, 1 Hg 3.31
Pb 0.0000 0.0000 0.0000  2 Ca 3.32, 6 Sn 3.46

## Properties
M_tot = 0.00 μB/f.u.
DFT total energy = -2.61 eV per atom
symmetry = No. 166
ΔE_f = -0.2821 eV per atom
DOS(E_F) = 2.1 states/eV per cell

Computed, not measured: a relaxed Ca2SnHg5Pb crystal at the PBE-GGA level of DFT.

Lattice parameters (Å, degrees): 8.9319 8.9319 8.9319 115.61 115.61 97.79
Last column: nearest neighbours and their distance in Å.
Sites, in units of the cell vectors:
Ca 0.1247 0.6247 0.7493  2 Hg 3.01, 1 Ca 3.36
Ca 0.3753 0.1247 0.5000  2 Hg 3.01, 1 Ca 3.36
Ca 0.6247 0.8753 0.5000  2 Hg 3.01, 1 Ca 3.36
Ca 0.8753 0.3753 0.2507  2 Hg 3.01, 1 Ca 3.36
Sn 0.2500 0.7500 0.5000  4 Hg 2.85
Sn 0.7500 0.2500 0.5000  4 Hg 2.85
Hg 0.0000 0.0000 0.0000  2 Pb 2.94
Hg 0.0482 0.1707 0.5000  1 Sn 2.85, 1 Ca 3.01, 1 Hg 3.05
Hg 0.1707 0.6707 0.1225  1 Sn 2.85, 1 Ca 3.01, 1 Hg 3.05
Hg 0.3293 0.4518 0.5000  1 Sn 2.85, 1 Ca 3.01, 1 Hg 3.05
Hg 0.4518 0.9518 0.1225  1 Sn 2.85, 1 Ca 3.01, 1 Hg 3.05
Hg 0.5000 0.5000 0.0000  2 Pb 2.94
Hg 0.5482 0.0482 0.8775  1 Sn 2.85, 1 Ca 3.01, 1 Hg 3.05
Hg 0.6707 0.5482 0.5000  1 Sn 2.85, 1 Ca 3.01, 1 Hg 3.05
Hg 0.8293 0.3293 0.8775  1 Sn 2.85, 1 Ca 3.01, 1 Hg 3.05
Hg 0.9518 0.8293 0.5000  1 Sn 2.85, 1 Ca 3.01, 1 Hg 3.05
Pb 0.2500 0.2500 0.0000  2 Hg 2.94
Pb 0.7500 0.7500 0.0000  2 Hg 2.94

## Properties
M_tot = 0.00 μB/f.u.
DFT total energy = -1.64 eV per atom
symmetry = No. 140
ΔE_f = -0.1718 eV per atom
DOS(E_F) = 7.9 states/eV per cell

Computed, not measured: a relaxed Ca2SnHg4Pb2 crystal at the PBE-GGA level of DFT.

Lattice parameters (Å, degrees): 7.2121 7.2121 7.2121 119.45 119.45 90.96
Last column: nearest neighbours and their distance in Å.
Sites, in units of the cell vectors:
Ca 0.2030 0.2030 0.0000  1 Sn 3.00, 4 Hg 3.09
Ca 0.7970 0.7970 0.0000  1 Sn 3.00, 4 Hg 3.09
Sn 0.5000 0.5000 0.0000  4 Hg 2.84, 2 Ca 3.00
Hg 0.2243 0.2243 0.4486  1 Sn 2.84, 2 Ca 3.09
Hg 0.2243 0.7757 0.0000  1 Sn 2.84, 2 Ca 3.09
Hg 0.7757 0.2243 0.0000  1 Sn 2.84, 2 Ca 3.09
Hg 0.7757 0.7757 0.5514  1 Sn 2.84, 2 Ca 3.09
Pb 0.2500 0.7500 0.5000  8 Hg 3.62, 4 Ca 3.67
Pb 0.7500 0.2500 0.5000  8 Hg 3.62, 4 Ca 3.67

## Properties
M_tot = 0.00 μB/f.u.
DFT total energy = -1.97 eV per atom
symmetry = No. 139
ΔE_f = -0.1271 eV per atom
DOS(E_F) = 5.1 states/eV per cell

Computed, not measured: a relaxed Ca2Sn2Hg4Pb crystal at the PBE-GGA level of DFT.

Lattice parameters (Å, degrees): 7.2056 7.2056 7.2056 119.37 119.37 91.09
Last column: nearest neighbours and their distance in Å.
Sites, in units of the cell vectors:
Ca 0.2500 0.7500 0.5000  8 Hg 3.62, 4 Sn 3.67
Ca 0.7500 0.2500 0.5000  8 Hg 3.62, 4 Sn 3.67
Sn 0.2008 0.2008 0.0000  4 Hg 3.01, 1 Pb 3.02
Sn 0.7992 0.7992 0.0000  4 Hg 3.01, 1 Pb 3.02
Hg 0.2160 0.2160 0.4320  1 Pb 2.92, 2 Sn 3.01, 2 Hg 3.14
Hg 0.2160 0.7840 0.0000  1 Pb 2.92, 2 Sn 3.01, 2 Hg 3.14
Hg 0.7840 0.2160 0.0000  1 Pb 2.92, 2 Sn 3.01, 2 Hg 3.14
Hg 0.7840 0.7840 0.5680  1 Pb 2.92, 2 Sn 3.01, 2 Hg 3.14
Pb 0.5000 0.5000 0.0000  4 Hg 2.92, 2 Sn 3.02

## Properties
M_tot = 0.00 μB/f.u.
DFT total energy = -2.06 eV per atom
symmetry = No. 139
ΔE_f = -0.1780 eV per atom
DOS(E_F) = 4.6 states/eV per cell

Computed, not measured: a relaxed Ca2TaHgPb crystal at the PBE-GGA level of DFT.

Lattice parameters (Å, degrees): 5.9415 5.9415 5.3712 90.00 90.00 90.00
Last column: nearest neighbours and their distance in Å.
Sites, in units of the cell vectors:
Ca 0.0000 0.5000 0.0000  2 Pb 2.97
Ca 0.5000 0.0000 0.0000  2 Pb 2.97
Ta 0.0000 0.0000 0.5000  2 Pb 2.69
Hg 0.5000 0.5000 0.5000  8 Ca 4.00, 4 Ta 4.20
Pb 0.0000 0.0000 0.0000  2 Ta 2.69, 4 Ca 2.97

## Properties
M_tot = 3.21 μB/f.u.
DFT total energy = -3.22 eV per atom
symmetry = No. 123
ΔE_f = 0.7551 eV per atom
DOS(E_F) = 5.1 states/eV per cell

Computed, not measured: a relaxed CaHgTe4Pb2 crystal at the PBE-GGA level of DFT.

Lattice parameters (Å, degrees): 7.9207 4.5164 7.9465 90.00 110.53 90.00
Last column: nearest neighbours and their distance in Å.
Sites, in units of the cell vectors:
Ca 0.0000 0.0000 0.0000  6 Te 3.16-3.23
Hg 0.0000 0.5000 0.5000  6 Te 3.11-3.26
Te 0.2336 0.0000 0.7380  2 Hg 3.11, 1 Ca 3.23, 3 Pb 3.29
Te 0.2444 0.5000 0.2437  2 Ca 3.16, 3 Pb 3.23-3.26, 1 Hg 3.26
Te 0.7556 0.5000 0.7563  2 Ca 3.16, 3 Pb 3.23-3.26, 1 Hg 3.26
Te 0.7664 0.0000 0.2620  2 Hg 3.11, 1 Ca 3.23, 3 Pb 3.29
Pb 0.5000 0.0000 0.5000  6 Te 3.23-3.29
Pb 0.5000 0.5000 0.0000  6 Te 3.26-3.29

## Properties
M_tot = 0.00 μB/f.u.
DFT total energy = -3.36 eV per atom
symmetry = No. 10
formation energy from raw total energies = -0.58 eV/atom
DOS(E_F) = 1.1 states/eV per cell

Computed, not measured: a relaxed CaThHgPb crystal at the PBE-GGA level of DFT.

Lattice parameters (Å, degrees): 7.7465 7.7465 7.7465 90.00 90.00 90.00
Last column: nearest neighbours and their distance in Å.
Sites, in units of the cell vectors:
Ca 0.0000 0.0000 0.0000  4 Hg 3.35, 4 Pb 3.35
Ca 0.0000 0.5000 0.5000  4 Hg 3.35, 4 Pb 3.35
Ca 0.5000 0.0000 0.5000  4 Hg 3.35, 4 Pb 3.35
Ca 0.5000 0.5000 0.0000  4 Hg 3.35, 4 Pb 3.35
Th 0.0000 0.0000 0.5000  4 Pb 3.35, 4 Hg 3.35
Th 0.0000 0.5000 0.0000  4 Pb 3.35, 4 Hg 3.35
Th 0.5000 0.0000 0.0000  4 Pb 3.35, 4 Hg 3.35
Th 0.5000 0.5000 0.5000  4 Pb 3.35, 4 Hg 3.35
Hg 0.2500 0.2500 0.2500  4 Th 3.35, 4 Ca 3.35
Hg 0.2500 0.7500 0.7500  4 Th 3.35, 4 Ca 3.35
Hg 0.7500 0.2500 0.7500  4 Th 3.35, 4 Ca 3.35
Hg 0.7500 0.7500 0.2500  4 Th 3.35, 4 Ca 3.35
Pb 0.2500 0.2500 0.7500  4 Ca 3.35, 4 Th 3.35
Pb 0.2500 0.7500 0.2500  4 Ca 3.35, 4 Th 3.35
Pb 0.7500 0.2500 0.2500  4 Ca 3.35, 4 Th 3.35
Pb 0.7500 0.7500 0.7500  4 Ca 3.35, 4 Th 3.35

## Properties
M_tot = 0.00 μB/f.u.
DFT total energy = -3.67 eV per atom
symmetry = No. 216
ΔE_f = -0.3164 eV per atom
DOS(E_F) = 15.5 states/eV per cell

Computed, not measured: a relaxed Ca2TlHg2Pb2 crystal at the PBE-GGA level of DFT.

Lattice parameters (Å, degrees): 9.3575 9.3575 9.3575 32.71 32.71 32.71
Last column: nearest neighbours and their distance in Å.
Sites, in units of the cell vectors:
Ca 0.1284 0.1284 0.1284  3 Hg 3.10, 1 Tl 3.41, 3 Pb 3.43
Ca 0.8716 0.8716 0.8716  3 Hg 3.10, 1 Tl 3.41, 3 Pb 3.43
Tl 0.0000 0.0000 0.0000  2 Ca 3.41, 6 Pb 3.55
Hg 0.4390 0.4390 0.4390  3 Ca 3.10, 3 Pb 3.20, 1 Hg 3.24
Hg 0.5610 0.5610 0.5610  3 Ca 3.10, 3 Pb 3.20, 1 Hg 3.24
Pb 0.2645 0.2645 0.2645  3 Hg 3.20, 3 Ca 3.43, 3 Tl 3.55
Pb 0.7355 0.7355 0.7355  3 Hg 3.20, 3 Ca 3.43, 3 Tl 3.55

## Properties
M_tot = 0.00 μB/f.u.
DFT total energy = -2.30 eV per atom
symmetry = No. 166
ΔE_f = -0.2459 eV per atom
DOS(E_F) = 3.5 states/eV per cell

Computed, not measured: a relaxed CaTlHgPb crystal at the PBE-GGA level of DFT.

Lattice parameters (Å, degrees): 10.7790 4.8104 4.8147 90.00 115.94 90.00
Last column: nearest neighbours and their distance in Å.
Sites, in units of the cell vectors:
Ca 0.0000 0.0000 0.0000  4 Hg 3.40-3.44, 4 Tl 3.40-3.44, 4 Pb 3.40-3.41
Ca 0.5000 0.5000 0.0000  4 Hg 3.40-3.44, 4 Tl 3.40-3.44, 4 Pb 3.40-3.41
Tl 0.2500 0.5000 0.2494  4 Ca 3.40-3.44, 4 Hg 3.40-3.41, 4 Pb 3.40-3.43
Tl 0.7500 0.0000 0.2494  4 Ca 3.40-3.44, 4 Hg 3.40-3.41, 4 Pb 3.40-3.43
Hg 0.2500 0.0000 0.7508  4 Ca 3.40-3.44, 4 Tl 3.40-3.41, 4 Pb 3.40-3.43
Hg 0.7500 0.5000 0.7508  4 Ca 3.40-3.44, 4 Tl 3.40-3.41, 4 Pb 3.40-3.43
Pb 0.0000 0.5000 0.5007  4 Hg 3.40-3.43, 4 Ca 3.40-3.41, 4 Tl 3.40-3.43
Pb 0.5000 0.0000 0.5007  4 Hg 3.40-3.43, 4 Ca 3.40-3.41, 4 Tl 3.40-3.43

## Properties
M_tot = 0.00 μB/f.u.
DFT total energy = -2.39 eV per atom
symmetry = No. 8
ΔE_f = -0.2987 eV per atom
DOS(E_F) = 2.8 states/eV per cell

Computed, not measured: a relaxed CaTlHgPb crystal at the PBE-GGA level of DFT.

Lattice parameters (Å, degrees): 7.7560 7.7560 7.7560 90.00 90.00 90.00
Last column: nearest neighbours and their distance in Å.
Sites, in units of the cell vectors:
Ca 0.0000 0.0000 0.0000  4 Hg 3.36, 4 Pb 3.36
Ca 0.0000 0.5000 0.5000  4 Hg 3.36, 4 Pb 3.36
Ca 0.5000 0.0000 0.5000  4 Hg 3.36, 4 Pb 3.36
Ca 0.5000 0.5000 0.0000  4 Hg 3.36, 4 Pb 3.36
Tl 0.0000 0.0000 0.5000  4 Hg 3.36, 4 Pb 3.36
Tl 0.0000 0.5000 0.0000  4 Hg 3.36, 4 Pb 3.36
Tl 0.5000 0.0000 0.0000  4 Hg 3.36, 4 Pb 3.36
Tl 0.5000 0.5000 0.5000  4 Hg 3.36, 4 Pb 3.36
Hg 0.2500 0.2500 0.7500  4 Ca 3.36, 4 Tl 3.36
Hg 0.2500 0.7500 0.2500  4 Ca 3.36, 4 Tl 3.36
Hg 0.7500 0.2500 0.2500  4 Ca 3.36, 4 Tl 3.36
Hg 0.7500 0.7500 0.7500  4 Ca 3.36, 4 Tl 3.36
Pb 0.2500 0.2500 0.2500  4 Tl 3.36, 4 Ca 3.36
Pb 0.2500 0.7500 0.7500  4 Tl 3.36, 4 Ca 3.36
Pb 0.7500 0.2500 0.7500  4 Tl 3.36, 4 Ca 3.36
Pb 0.7500 0.7500 0.2500  4 Tl 3.36, 4 Ca 3.36

## Properties
M_tot = 0.00 μB/f.u.
DFT total energy = -2.33 eV per atom
symmetry = No. 216
ΔE_f = -0.2393 eV per atom
DOS(E_F) = 17.3 states/eV per cell